Record 1
First-principles (PBE) data for a geometry-optimized Ho5ErThSc2 structure, as listed in Alexandria.

Calculated values
density: 7.9 g/cm3
DOS at the Fermi energy: 1.270 states/eV per atom
energy of formation: 174 meV/atom
symmetry: Cmc2_1 (36)
total moment: 0.00 μB per formula unit
total DFT energy (no corrections): -5.1081 eV/atom

Unit cell a=10.9439 b=10.9439 c=9.3596 alpha=90.00 beta=90.00 gamma=150.46
Last column: nearest neighbours and their distance in Å.
Sites, in units of the cell vectors:
Ho 0.0097 0.9903 0.5000  1 Sc 3.16, 2 Er 3.45
Ho 0.2656 0.7344 0.1798  1 Er 3.02, 1 Sc 3.23, 2 Ho 3.36, 1 Th 3.38
Ho 0.3053 0.6947 0.7986  2 Th 3.33, 5 Ho 3.36-3.67, 3 Sc 3.43-3.61, 1 Er 3.44
Ho 0.3901 0.6099 0.4698  4 Sc 3.22-3.48, 3 Ho 3.25-3.56, 1 Er 3.55
Ho 0.4692 0.5308 0.7673  2 Er 3.16-3.35, 3 Ho 3.25-3.53, 2 Sc 3.36
Ho 0.5308 0.4692 0.2673  2 Er 3.16-3.35, 3 Ho 3.25-3.53, 2 Sc 3.36
Ho 0.6099 0.3901 0.9698  4 Sc 3.22-3.48, 3 Ho 3.25-3.56, 1 Er 3.55
Ho 0.6947 0.3053 0.2986  2 Th 3.33, 5 Ho 3.36-3.67, 3 Sc 3.43-3.61, 1 Er 3.44
Ho 0.7344 0.2656 0.6798  1 Er 3.02, 1 Sc 3.23, 2 Ho 3.36, 1 Th 3.38
Ho 0.9903 0.0097 0.0000  1 Sc 3.16, 2 Er 3.45
Er 0.4031 0.5969 0.0921  3 Ho 3.02-3.35
Er 0.5969 0.4031 0.5921  3 Ho 3.02-3.35
Th 0.1846 0.8154 0.4911  2 Sc 3.14-3.18, 5 Ho 3.33-3.47, 2 Er 3.48
Th 0.8154 0.1846 0.9911  2 Sc 3.14-3.18, 5 Ho 3.33-3.47, 2 Er 3.48
Sc 0.1129 0.8871 0.1919  8 Ho 3.16-3.48, 1 Th 3.18
Sc 0.1348 0.8652 0.8069  1 Th 3.14, 2 Ho 3.22
Sc 0.8652 0.1348 0.3069  1 Th 3.14, 2 Ho 3.22
Sc 0.8871 0.1129 0.6919  8 Ho 3.16-3.48, 1 Th 3.18

---

Record 2
First-principles (PBE) data for a geometry-optimized K2SrTlIn structure, as listed in Alexandria.

Calculated values
density: 3.5 g/cm3
DOS at the Fermi energy: 0.784 states/eV per atom
energy of formation: -66 meV/atom
symmetry: Cm (8)
total moment: 0.00 μB per formula unit
total DFT energy (no corrections): -1.8626 eV/atom

Unit cell a=7.4071 b=7.4071 c=7.0565 alpha=101.30 beta=101.30 gamma=37.97
Last column: nearest neighbours and their distance in Å.
Sites, in units of the cell vectors:
K 0.0000 0.0000 0.0000  2 Tl 3.67, 2 In 3.70-3.87, 3 Sr 4.06-4.08
K 0.6256 0.6256 0.5665  3 Tl 3.83-4.24, 3 In 3.92-4.04
Sr 0.2972 0.2972 0.1606  2 In 3.38, 2 Tl 3.51-3.65
Tl 0.3422 0.3422 0.6896  2 In 3.06
In 0.9002 0.9002 0.4721  2 Tl 3.06, 2 Sr 3.38

---

Record 3
First-principles (PBE) data for a geometry-optimized YBe2SiRh4 structure, as listed in Alexandria.

Calculated values
density: 8.1 g/cm3
DOS at the Fermi energy: 0.279 states/eV per atom
symmetry: R-3m (166)
total moment: 0.00 μB per formula unit
total DFT energy (no corrections): -6.7754 eV/atom
formation energy from raw total energies: -5.46 eV/f.u.

Unit cell a=7.9387 b=7.9387 c=7.9387 alpha=30.19 beta=30.19 gamma=30.19
Last column: nearest neighbours and their distance in Å.
Sites, in units of the cell vectors:
Y 0.0000 0.0000 0.0000  8 Rh 2.78-3.00
Be 0.2403 0.2403 0.2403  7 Rh 2.46-2.55
Be 0.7597 0.7597 0.7597  7 Rh 2.46-2.55
Si 0.5000 0.5000 0.5000  8 Rh 2.35-2.51
Rh 0.1320 0.1320 0.1320  4 Be 2.46-2.55, 3 Si 2.51
Rh 0.3965 0.3965 0.3965  1 Si 2.35, 3 Be 2.48
Rh 0.6035 0.6035 0.6035  1 Si 2.35, 3 Be 2.48
Rh 0.8680 0.8680 0.8680  4 Be 2.46-2.55, 3 Si 2.51

---

Record 4
First-principles (PBE) data for a geometry-optimized ZrPO2F structure, as listed in Alexandria.

Calculated values
density: 4.6 g/cm3
DOS at the Fermi energy: 0.549 states/eV per atom
symmetry: P4/mmm (123)
total moment: 1.84 μB per formula unit
total DFT energy (no corrections): -6.0115 eV/atom
formation energy from raw total energies: -4.31 eV/f.u.

Unit cell a=3.8405 b=3.8405 c=4.2527 alpha=90.00 beta=90.00 gamma=90.00
Last column: nearest neighbours and their distance in Å.
Sites, in units of the cell vectors:
Zr 0.0000 0.0000 0.0000  4 F 2.72, 8 O 2.87
P 0.5000 0.5000 0.5000  4 O 1.92, 2 F 2.13
O 0.0000 0.5000 0.5000  2 P 1.92
O 0.5000 0.0000 0.5000  2 P 1.92
F 0.5000 0.5000 0.0000  2 P 2.13

---

> Which value of DOS at the Fermi energy does entry 2 give?

0.784 states/eV per atom

---

Please write out number 2 again, unchanged.
First-principles (PBE) data for a geometry-optimized K2SrTlIn structure, as listed in Alexandria.

Calculated values
density: 3.5 g/cm3
DOS at the Fermi energy: 0.784 states/eV per atom
energy of formation: -66 meV/atom
symmetry: Cm (8)
total moment: 0.00 μB per formula unit
total DFT energy (no corrections): -1.8626 eV/atom

Unit cell a=7.4071 b=7.4071 c=7.0565 alpha=101.30 beta=101.30 gamma=37.97
Last column: nearest neighbours and their distance in Å.
Sites, in units of the cell vectors:
K 0.0000 0.0000 0.0000  2 Tl 3.67, 2 In 3.70-3.87, 3 Sr 4.06-4.08
K 0.6256 0.6256 0.5665  3 Tl 3.83-4.24, 3 In 3.92-4.04
Sr 0.2972 0.2972 0.1606  2 In 3.38, 2 Tl 3.51-3.65
Tl 0.3422 0.3422 0.6896  2 In 3.06
In 0.9002 0.9002 0.4721  2 Tl 3.06, 2 Sr 3.38

---

> What is the formula in the third record?

YBe2SiRh4